# 1
The following is a DFT calculation (PBE) of a relaxed CdCoPb crystal.

Values from the calculation:
raw total energy: -3.468 eV per atom
E_form: 10.191 kcal/mol of atoms
density of states at the Fermi level: 1.197 states/eV per atom
space group: No. 156

a = 3.2732 Å, b = 3.2732 Å, c = 6.7819 Å
α = 90.00°, β = 90.00°, γ = 120.00°
Positions (direct):
Cd1 0.0000 0.0000 0.0450
Co1 0.6667 0.3333 0.3319
Pb1 0.3333 0.6667 0.6231

---

# 2
The following is a DFT calculation (PBE) of a relaxed CdCo3Pb crystal.

Values from the calculation:
raw total energy: -3.762 eV per atom
E_form: 32.888 kcal/mol of atoms
density of states at the Fermi level: 3.589 states/eV per atom
space group: No. 221

a = 4.7332 Å, b = 4.7332 Å, c = 4.7332 Å
α = 90.00°, β = 90.00°, γ = 90.00°
Positions (direct):
Co1 0.5000 0.0000 0.0000
Co2 0.0000 0.5000 0.0000
Co3 0.0000 0.0000 0.5000
Pb1 0.5000 0.5000 0.5000
Cd1 0.0000 0.0000 0.0000

---

# 3
The following is a DFT calculation (PBE) of a relaxed CdCoPb crystal.

Values from the calculation:
raw total energy: -3.545 eV per atom
E_form: 8.416 kcal/mol of atoms
density of states at the Fermi level: 0.773 states/eV per atom
space group: No. 107

a = 6.2873 Å, b = 6.2874 Å, c = 3.2380 Å
α = 75.08°, β = 75.08°, γ = 29.84°
Positions (direct):
Co1 0.3365 0.3365 0.6635
Pb1 0.6962 0.6962 0.3038
Cd1 0.9673 0.9673 0.0327

---

# 4
The following is a DFT calculation (PBE) of a relaxed CdCoPb crystal.

Values from the calculation:
raw total energy: -3.582 eV per atom
E_form: 7.550 kcal/mol of atoms
density of states at the Fermi level: 0.775 states/eV per atom
space group: No. 216

a = 4.4615 Å, b = 4.4615 Å, c = 4.4615 Å
α = 60.00°, β = 60.00°, γ = 60.00°
Positions (direct):
Cd1 0.5000 0.5000 0.5000
Co1 0.7500 0.7500 0.7500
Pb1 0.0000 0.0000 0.0000

---

# 5
The following is a DFT calculation (PBE) of a relaxed Cd2Co2Pb crystal.

Values from the calculation:
raw total energy: -3.629 eV per atom
E_form: 7.399 kcal/mol of atoms
density of states at the Fermi level: 0.752 states/eV per atom
space group: No. 127

a = 6.5854 Å, b = 6.5854 Å, c = 4.2159 Å
α = 90.00°, β = 90.00°, γ = 90.00°
Positions (direct):
Pb1 0.0000 0.0000 0.0000
Pb2 0.5000 0.5000 0.0000
Cd1 0.1607 0.6607 0.5000
Cd2 0.6607 0.8393 0.5000
Cd3 0.8393 0.3393 0.5000
Cd4 0.3393 0.1607 0.5000
Co1 0.8746 0.6254 0.0000
Co2 0.3746 0.8746 0.0000
Co3 0.1254 0.3746 0.0000
Co4 0.6254 0.1254 0.0000

---

# 6
The following is a DFT calculation (PBE) of a relaxed RbCd2CoPb crystal.

Values from the calculation:
raw total energy: -2.648 eV per atom
E_form: 1.727 kcal/mol of atoms
density of states at the Fermi level: 0.407 states/eV per atom
space group: No. 123

a = 5.2586 Å, b = 5.2586 Å, c = 5.0040 Å
α = 90.00°, β = 90.00°, γ = 90.00°
Positions (direct):
Cd1 0.5000 0.0000 0.0000
Cd2 0.0000 0.5000 0.0000
Rb1 0.5000 0.5000 0.5000
Co1 0.0000 0.0000 0.0000
Pb1 0.0000 0.0000 0.5000

---

# 7
The following is a DFT calculation (PBE) of a relaxed CdCoPb2Se crystal.

Values from the calculation:
energy relative to the elements, uncorrected: 0.1007 eV per atom
raw total energy: -3.684 eV per atom
density of states at the Fermi level: 0.447 states/eV per atom
space group: No. 123

a = 5.0322 Å, b = 5.0178 Å, c = 5.0322 Å
α = 90.00°, β = 90.00°, γ = 90.00°
Positions (direct):
Co1 0.0000 0.0000 0.0000
Pb1 0.5000 0.0000 0.0000
Pb2 0.0000 0.0000 0.5000
Se1 0.5000 0.5000 0.5000
Cd1 0.0000 0.5000 0.0000

---

# 8
The following is a DFT calculation (PBE) of a relaxed CdCoSn2Pb crystal.

Values from the calculation:
raw total energy: -3.803 eV per atom
E_form: 3.332 kcal/mol of atoms
density of states at the Fermi level: 0.921 states/eV per atom
space group: No. 123

a = 4.9572 Å, b = 4.9572 Å, c = 5.2046 Å
α = 90.00°, β = 90.00°, γ = 90.00°
Positions (direct):
Co1 0.0000 0.0000 0.0000
Sn1 0.5000 0.0000 0.0000
Sn2 0.0000 0.5000 0.0000
Pb1 0.0000 0.0000 0.5000
Cd1 0.5000 0.5000 0.5000

---

# 9
The following is a DFT calculation (PBE) of a relaxed CdCoSn2Pb crystal.

Values from the calculation:
raw total energy: -3.819 eV per atom
E_form: 2.943 kcal/mol of atoms
density of states at the Fermi level: 0.419 states/eV per atom
space group: No. 123

a = 4.9040 Å, b = 4.9040 Å, c = 5.1828 Å
α = 90.00°, β = 90.00°, γ = 90.00°
Positions (direct):
Sn1 0.5000 0.0000 0.0000
Sn2 0.0000 0.5000 0.0000
Co1 0.0000 0.0000 0.0000
Pb1 0.5000 0.5000 0.5000
Cd1 0.0000 0.0000 0.5000

---

# 10
The following is a DFT calculation (PBE) of a relaxed SrCd2CoPb crystal.

Values from the calculation:
raw total energy: -2.927 eV per atom
E_form: -1.435 kcal/mol of atoms
density of states at the Fermi level: 0.621 states/eV per atom
space group: No. 123

a = 5.1097 Å, b = 5.1097 Å, c = 5.0148 Å
α = 90.00°, β = 90.00°, γ = 90.00°
Positions (direct):
Cd1 0.0000 0.5000 0.0000
Cd2 0.5000 0.0000 0.0000
Pb1 0.0000 0.0000 0.5000
Co1 0.0000 0.0000 0.0000
Sr1 0.5000 0.5000 0.5000

---

# 11
The following is a DFT calculation (PBE) of a relaxed TaCd2CoPb crystal.

Values from the calculation:
raw total energy: -3.092 eV per atom
E_form: 41.683 kcal/mol of atoms
density of states at the Fermi level: 1.384 states/eV per atom
space group: No. 123

a = 5.2680 Å, b = 4.6723 Å, c = 5.2680 Å
α = 90.00°, β = 90.00°, γ = 90.00°
Positions (direct):
Co1 0.0000 0.5000 0.0000
Cd1 0.5000 0.0000 0.0000
Cd2 0.0000 0.0000 0.5000
Pb1 0.0000 0.0000 0.0000
Ta1 0.5000 0.5000 0.5000

---

# 12
The following is a DFT calculation (PBE) of a relaxed CdCo2TePb crystal.

Values from the calculation:
energy relative to the elements, uncorrected: 1.2055 eV per atom
raw total energy: -3.190 eV per atom
density of states at the Fermi level: 0.993 states/eV per atom
space group: No. 123

a = 4.8866 Å, b = 6.2959 Å, c = 4.8866 Å
α = 90.00°, β = 90.00°, γ = 90.00°
Positions (direct):
Co1 0.5000 0.0000 0.0000
Co2 0.0000 0.0000 0.5000
Te1 0.0000 0.5000 0.0000
Cd1 0.5000 0.5000 0.5000
Pb1 0.0000 0.0000 0.0000